CsFeN2O (PBE+U, relaxed); V = 81.9 Å³/f.u.; DFT total energy = -3.300 eV/atom; total magnetization = 4.1 μB per cell; crystal system = tetragonal
1.0
-2.4156 3.6039 0.0736
-1.8895 -1.3415 3.6687
3.0780 2.0156 2.3223
Cs Fe O N
1 1 1 2
direct
0.0000 0.0000 0.0000 Cs
0.5000 0.5000 0.5000 Fe
0.0000 0.0000 0.5000 O
0.0000 0.5000 0.0000 N
0.5000 0.0000 0.0000 N